1.
DFT (PBE) results for crystalline AgPAuO2 at its relaxed geometry.

The structure in POSCAR format:
```
AgPAuO2
1.0
3.902 0.000 0.000
0.000 3.902 0.000
0.000 0.000 5.349
Ag P Au O
1 1 1 2
Cartesian
0.000 0.000 0.000
0.000 0.000 2.675
1.951 1.951 2.675
0.000 1.951 0.000
1.951 0.000 0.000
```

Properties
excess energy over the best structure of this formula in the dataset	141	meV/atom
uncorrected energy	-0.1288	Ha/atom
density of states at the Fermi level	7.87	states/eV per cell
raw formation energy	786	meV per atom
space group	P4/mmm, No. 123



2.
DFT (PBE) results for crystalline PaAgAu2O6 at its relaxed geometry.

The structure in POSCAR format:
```
PaAgAu2O6
1.0
6.539 -3.744 0.000
6.539 3.744 0.000
-2.029 0.000 6.131
Pa Ag Au O
2 2 4 12
Cartesian
5.017 2.798 4.599
6.032 -2.798 1.533
6.032 0.812 1.533
5.017 -0.812 4.599
1.758 0.940 4.555
2.773 -0.940 1.489
8.276 0.940 4.642
9.291 -0.940 1.576
-0.067 0.509 3.772
0.948 -0.509 0.707
3.595 0.941 1.350
3.619 1.375 5.148
6.415 1.375 4.049
2.580 -0.941 4.416
8.468 0.941 1.716
4.634 -1.375 2.082
7.429 -1.375 0.983
7.454 -0.941 4.782
10.100 0.509 5.425
11.115 -0.509 2.359
```

Properties
uncorrected energy	-0.2227	Ha/atom
raw formation energy	-1194	meV per atom
space group	C2/c, No. 15



3.
DFT (PBE) results for crystalline PaAgAu2O8 at its relaxed geometry.

The structure in POSCAR format:
```
PaAgAu2O8
1.0
-3.480 3.480 3.615
3.480 -3.480 3.615
3.480 3.480 -3.615
Pa Ag Au O
1 1 2 8
Cartesian
0.000 0.000 0.000
0.000 3.480 1.808
3.480 0.000 1.808
0.000 0.000 3.615
2.222 0.000 0.277
4.739 0.000 0.277
3.480 2.264 -1.632
3.480 -1.258 3.338
0.000 1.217 1.983
3.480 1.258 3.338
2.264 3.480 1.632
1.217 0.000 5.248
```

Properties
uncorrected energy	-0.2020	Ha/atom
density of states at the Fermi level	9.46	states/eV per cell
raw formation energy	-616	meV per atom
space group	I-4m2, No. 119